(1)
{"formula": "ThMn2Ge2", "functional": "GGA-PBE", "state": "relaxed", "cell": [[5.2517, 0.0000, 0.0000], [2.5373, 4.7918, 0.0000], [1.2714, 2.3892, 7.2660]], "species": ["Th", "Th", "Mn", "Mn", "Mn", "Mn", "Ge", "Ge", "Ge", "Ge"], "frac_coords": [[0.2498, 0.1330, 0.2347], [0.7502, 0.8670, 0.7653], [0.1273, 0.2535, 0.7705], [0.3733, 0.4750, 0.7707], [0.6267, 0.5250, 0.2293], [0.8727, 0.7465, 0.2295], [0.2495, 0.5175, 0.4672], [0.2499, 0.7549, 0.9901], [0.7501, 0.2451, 0.0099], [0.7505, 0.4825, 0.5328]], "rho_g_cm3": 8.85, "formation_energy_mev_per_atom": -170.9, "relative_energy_ev_per_atom": 0.288, "dft_energy_ev_per_cell": -71.70, "m_tot_mub_per_fu": 0.0}

=====

(2)
{"formula": "ThMn6Ge6", "functional": "GGA-PBE", "state": "relaxed", "cell": [[-2.6080, 4.1269, 4.5087], [2.6080, -4.1269, 4.5087], [2.6080, 4.1269, -4.5087]], "species": ["Th", "Mn", "Mn", "Mn", "Mn", "Mn", "Mn", "Ge", "Ge", "Ge", "Ge", "Ge", "Ge"], "frac_coords": [[0.0000, 0.0000, 0.0000], [0.0000, 0.0000, 0.5000], [0.0000, 0.5000, 0.0000], [0.2497, 0.5000, 0.7497], [0.5000, 0.0000, 0.0000], [0.5000, 0.5000, 0.5000], [0.7503, 0.5000, 0.2503], [0.1745, 0.6745, 0.5000], [0.3404, 0.3404, 0.0000], [0.3496, 0.0000, 0.3496], [0.6504, 0.0000, 0.6504], [0.6596, 0.6596, 0.0000], [0.8255, 0.3255, 0.5000]], "rho_g_cm3": 8.53, "formation_energy_mev_per_atom": -270.9, "dft_energy_ev_per_cell": -93.66, "m_tot_mub_per_fu": 11.7}